# 1
The following is a DFT calculation (GGA-PBE) of a relaxed structure of Nd8Ga3PdBr4.

Cell and atoms, written as extended XYZ:
```
16
Lattice="7.464 -4.301 0.000 7.464 4.301 0.000 -4.982 0.000 7.227" Properties=species:S:1:pos:R:3 pbc="T T T"
Nd -0.026 0.000 5.213
Nd 3.740 2.171 5.208
Nd 2.488 0.000 1.938
Nd 6.207 2.171 2.019
Nd 3.740 -2.171 5.208
Nd 7.459 0.000 5.288
Nd 6.207 -2.171 2.019
Nd 9.973 0.000 2.014
Ga 1.241 2.150 3.613
Ga 1.241 -2.150 3.613
Ga 4.973 0.000 3.613
Pd -2.491 0.000 3.613
Br 0.000 0.000 0.000
Br 3.732 2.150 0.000
Br 3.732 -2.150 0.000
Br 7.464 0.000 0.000
```

Values from the calculation:
As for the symmetry: No. 12.

***

# 2
The following is a DFT calculation (GGA-PBE) of a relaxed structure of Nd4GaPtBr2.

Cell and atoms, written as extended XYZ:
```
8
Lattice="7.700 0.000 0.000 0.000 4.111 0.000 -2.373 0.000 7.446" Properties=species:S:1:pos:R:3 pbc="T T T"
Nd 1.280 0.000 1.517
Nd 0.080 2.056 5.782
Nd 5.246 2.056 1.664
Nd 4.046 0.000 5.929
Ga 3.850 0.000 0.000
Pt 0.000 2.056 0.000
Br -1.186 0.000 3.723
Br 2.663 2.056 3.723
```

Values from the calculation:
As for the symmetry: No. 10.

***

# 3
The following is a DFT calculation (GGA-PBE) of a relaxed structure of Nd8Ga3PtBr4.

Cell and atoms, written as extended XYZ:
```
16
Lattice="7.453 -4.290 0.000 7.453 4.290 0.000 -4.976 0.000 7.295" Properties=species:S:1:pos:R:3 pbc="T T T"
Nd -0.061 0.000 5.243
Nd 3.747 2.193 5.240
Nd 6.182 2.193 2.055
Nd 2.484 0.000 1.952
Nd 7.445 0.000 5.342
Nd 3.747 -2.193 5.240
Nd 6.182 -2.193 2.055
Nd 9.990 0.000 2.052
Ga 1.238 2.145 3.647
Ga 1.238 -2.145 3.647
Ga 4.964 0.000 3.647
Pt -2.488 0.000 3.647
Br 0.000 0.000 0.000
Br 3.726 2.145 0.000
Br 3.726 -2.145 0.000
Br 7.453 0.000 0.000
```

Values from the calculation:
As for the symmetry: No. 12.

***

# 4
The following is a DFT calculation (GGA-PBE) of a relaxed structure of NdGaPtBr.

Cell and atoms, written as extended XYZ:
```
8
Lattice="2.149 1.241 13.802 -2.149 1.241 13.802 0.000 -2.481 13.802" Properties=species:S:1:pos:R:3 pbc="T T T"
Nd 0.000 0.000 3.288
Nd 0.000 0.000 38.119
Ga 0.000 0.000 12.815
Ga 0.000 0.000 28.592
Pt 0.000 0.000 15.397
Pt 0.000 0.000 26.010
Br 0.000 0.000 8.670
Br 0.000 0.000 32.737
```

Values from the calculation:
As for the symmetry: No. 166.

***

# 5
The following is a DFT calculation (GGA-PBE) of a relaxed structure of Nd8Ga3RhBr4.

Cell and atoms, written as extended XYZ:
```
16
Lattice="7.422 -4.276 0.000 7.422 4.276 0.000 -4.955 0.000 7.344" Properties=species:S:1:pos:R:3 pbc="T T T"
Nd 3.755 2.223 5.238
Nd -0.100 0.000 5.244
Nd 6.135 2.223 2.106
Nd 2.474 0.000 1.957
Nd 7.416 0.000 5.387
Nd 3.755 -2.223 5.238
Nd 9.989 0.000 2.100
Nd 6.135 -2.223 2.106
Ga 1.234 2.138 3.672
Ga 1.234 -2.138 3.672
Ga 4.945 0.000 3.672
Rh -2.477 0.000 3.672
Br 0.000 0.000 0.000
Br 3.711 2.138 0.000
Br 3.711 -2.138 0.000
Br 7.422 0.000 0.000
```

Values from the calculation:
As for the symmetry: No. 12.

***

# 6
The following is a DFT calculation (GGA-PBE) of a relaxed structure of Nd8GaS3Br4.

Cell and atoms, written as extended XYZ:
```
16
Lattice="4.146 2.393 7.360 -4.146 2.393 7.360 0.000 -4.787 7.360" Properties=species:S:1:pos:R:3 pbc="T T T"
Nd -2.132 -1.231 12.536
Nd 0.000 0.000 5.112
Nd 0.000 -2.462 9.545
Nd -2.132 1.231 9.545
Nd 2.132 -1.231 12.536
Nd 0.000 2.462 12.536
Nd 0.000 0.000 16.969
Nd 2.132 1.231 9.545
Ga 0.000 0.000 11.040
S -4.146 0.000 11.040
S -2.073 1.197 3.680
S 2.073 1.197 3.680
Br 0.000 0.000 0.000
Br -2.073 -1.197 7.360
Br -2.073 1.197 14.721
Br 0.000 2.393 7.360
```

Values from the calculation:
As for the symmetry: No. 166.

***

# 7
The following is a DFT calculation (GGA-PBE) of a relaxed structure of Nd6Ga2SeBr3.

Cell and atoms, written as extended XYZ:
```
12
Lattice="3.728 -6.452 0.000 3.728 6.452 0.000 -2.482 0.000 7.229" Properties=species:S:1:pos:R:3 pbc="T T T"
Nd -0.019 2.181 5.647
Nd 1.197 0.000 1.571
Nd -0.019 -2.181 5.647
Nd 4.994 2.181 1.582
Nd 3.778 0.000 5.658
Nd 4.994 -2.181 1.582
Ga 3.728 4.295 0.000
Ga 3.728 -4.295 0.000
Se 3.728 0.000 0.000
Br -1.241 0.000 3.615
Br 2.488 2.164 3.615
Br 2.488 -2.164 3.615
```

Values from the calculation:
As for the symmetry: No. 12.

***

# 8
The following is a DFT calculation (GGA-PBE) of a relaxed structure of Nd4GaSeBr2.

Cell and atoms, written as extended XYZ:
```
8
Lattice="7.360 0.000 0.000 0.000 4.319 0.000 -2.546 0.000 7.258" Properties=species:S:1:pos:R:3 pbc="T T T"
Nd 1.170 0.000 1.571
Nd -0.113 2.159 5.711
Nd 4.928 2.159 1.546
Nd 3.644 0.000 5.687
Ga 0.000 2.159 0.000
Se 3.680 0.000 0.000
Br -1.273 0.000 3.629
Br 2.407 2.159 3.629
```

Values from the calculation:
As for the symmetry: No. 10.

***

How do the records compare in formation energy from raw total energies? In the order shown, they have -903, -1036, -959, -1205, -910, -1449, -1134, -1227 meV/atom.